1.
Density functional theory data (GGA-PBE) for an optimized crystal structure of SrBe2Os.

energy of formation	158	kJ/mol of formula units

Structure (CIF):
```
data_SrBe2Os
_cell_length_a 4.5732
_cell_length_b 4.5732
_cell_length_c 15.2537
_cell_angle_alpha 90.00
_cell_angle_beta 90.00
_cell_angle_gamma 90.00
_symmetry_space_group_name_H-M 'I 41/a m d'
_symmetry_Int_Tables_number 141
loop_
_symmetry_equiv_pos_as_xyz
'x,y,z'
'-x,-y,-z'
'-y+1/4,x+3/4,z+1/4'
'y+1/4,-x+3/4,-z+1/4'
'-x+1/2,-y,z+1/2'
'x+1/2,y,-z+1/2'
'y+1/4,-x+1/4,z+3/4'
'-y+1/4,x+1/4,-z+3/4'
'x,-y,-z'
'-x,y,z'
'-y+1/4,-x+1/4,-z+3/4'
'y+1/4,x+1/4,z+3/4'
'-x+1/2,y,-z+1/2'
'x+1/2,-y,z+1/2'
'y+1/4,x+3/4,-z+1/4'
'-y+1/4,-x+3/4,z+1/4'
'x+1/2,y+1/2,z+1/2'
'-x+1/2,-y+1/2,-z+1/2'
'-y+3/4,x+1/4,z+3/4'
'y+3/4,-x+1/4,-z+3/4'
'-x,-y+1/2,z'
'x,y+1/2,-z'
'y+3/4,-x+3/4,z+1/4'
'-y+3/4,x+3/4,-z+1/4'
'x+1/2,-y+1/2,-z+1/2'
'-x+1/2,y+1/2,z+1/2'
'-y+3/4,-x+3/4,-z+1/4'
'y+3/4,x+3/4,z+1/4'
'-x,y+1/2,-z'
'x,-y+1/2,z'
'y+3/4,x+1/4,-z+3/4'
'-y+3/4,-x+1/4,z+3/4'
loop_
_atom_site_label
_atom_site_fract_x
_atom_site_fract_y
_atom_site_fract_z
Sr1 0.0000 0.2500 0.3750
Be1 0.0000 0.0000 0.0000
Os1 0.0000 0.2500 0.8750
```

2.
Density functional theory data (GGA-PBE) for an optimized crystal structure of RbGeAu3.

energy of formation	-50	kJ/mol of formula units

Structure (CIF):
```
data_RbGeAu3
_cell_length_a 14.1063
_cell_length_b 4.4108
_cell_length_c 8.2090
_cell_angle_alpha 90.00
_cell_angle_beta 97.10
_cell_angle_gamma 90.00
_symmetry_space_group_name_H-M 'C 1 2/m 1'
_symmetry_Int_Tables_number 12
loop_
_symmetry_equiv_pos_as_xyz
'x,y,z'
'-x,-y,-z'
'-x,y,-z'
'x,-y,z'
'x+1/2,y+1/2,z'
'-x+1/2,-y+1/2,-z'
'-x+1/2,y+1/2,-z'
'x+1/2,-y+1/2,z'
loop_
_atom_site_label
_atom_site_fract_x
_atom_site_fract_y
_atom_site_fract_z
Rb1 0.1286 0.0000 0.4944
Ge1 0.0085 0.5000 0.8315
Au1 0.0952 0.0000 0.9388
Au2 0.1739 0.5000 0.1791
Au3 0.2059 0.5000 0.8329
```

3.
Density functional theory data (GGA-PBE) for an optimized crystal structure of LaGa2Pd4.

energy of formation	-508	kJ/mol of formula units

Structure (CIF):
```
data_LaGa2Pd4
_cell_length_a 17.0628
_cell_length_b 4.3129
_cell_length_c 6.8011
_cell_angle_alpha 90.00
_cell_angle_beta 90.00
_cell_angle_gamma 90.00
_symmetry_space_group_name_H-M 'P n m a'
_symmetry_Int_Tables_number 62
loop_
_symmetry_equiv_pos_as_xyz
'x,y,z'
'-x,-y,-z'
'-x+1/2,-y,z+1/2'
'x+1/2,y,-z+1/2'
'x+1/2,-y+1/2,-z+1/2'
'-x+1/2,y+1/2,z+1/2'
'-x,y+1/2,-z'
'x,-y+1/2,z'
loop_
_atom_site_label
_atom_site_fract_x
_atom_site_fract_y
_atom_site_fract_z
La1 0.1381 0.2500 0.0782
Ga1 0.0622 0.7500 0.7300
Ga2 0.2037 0.2500 0.6187
Pd1 0.0199 0.7500 0.1402
Pd2 0.0585 0.2500 0.4904
Pd3 0.1694 0.7500 0.4023
Pd4 0.2132 0.7500 0.8145
```

4.
Density functional theory data (GGA-PBE) for an optimized crystal structure of TaMn2Zn.

energy of formation	25	kJ/mol of formula units

Structure (CIF):
```
data_TaMn2Zn
_cell_length_a 3.6818
_cell_length_b 3.6818
_cell_length_c 8.2849
_cell_angle_alpha 90.00
_cell_angle_beta 90.00
_cell_angle_gamma 90.00
_symmetry_space_group_name_H-M 'I -4 m 2'
_symmetry_Int_Tables_number 119
_symmetry_space_group_name_Hall 'I -4 -2'
loop_
_atom_site_label
_atom_site_fract_x
_atom_site_fract_y
_atom_site_fract_z
Ta1 0.0000 0.0000 0.0000
Mn1 0.0000 0.0000 0.5000
Mn2 0.0000 0.5000 0.2500
Zn1 0.0000 0.5000 0.7500
```

| no. | total moment (μB/cell) | total DFT energy (no corrections) (eV per atom) |
| --- | --- | --- |
| 1 | 0.00 | -4.68 |
| 2 | 0.00 | -3.19 |
| 3 | 0.00 | -5.29 |
| 4 | 7.79 | -7.80 |